Entry 1:
A geometry-optimized K2LaRh structure. Source: Alexandria, functional GGA-PBE.

As for the magnetic moment: 0.00 μB per atom. The density of states at the Fermi level is 0.63 states/eV per atom. The value obtained for the offset from the most stable computed form is 0.0 meV per atom. The value obtained for the total energy is -3.752 eV per atom.

Unit cell a=3.9047 b=4.0595 c=10.9761 alpha=79.05 beta=90.00 gamma=90.00
Positions (direct):
Rh  0.5000  0.9946  0.6351
K  0.0000  0.8447  0.9375
K  0.5000  0.1567  0.3086
La  0.0000  0.5040  0.6189


Entry 2:
A geometry-optimized KLaRh3 structure. Source: Alexandria, functional GGA-PBE.

As for the magnetic moment: 0.16 μB per atom. The density of states at the Fermi level is 1.10 states/eV per atom. The value obtained for the offset from the most stable computed form is 484.6 meV per atom. The value obtained for the total energy is -4.419 eV per atom.

Unit cell a=4.8284 b=4.8284 c=4.8284 alpha=90.00 beta=90.00 gamma=90.00
Last column: magnetic moment on the atom in μB.
Positions (direct):
K  0.0000  0.0000  0.0000  -0.01
Rh  0.0000  0.5000  0.0000  0.34
Rh  0.0000  0.0000  0.5000  0.31
La  0.5000  0.5000  0.5000  -0.04
Rh  0.5000  0.0000  0.0000  0.27


Entry 3:
A geometry-optimized K2LaRh structure. Source: Alexandria, functional GGA-PBE.

As for the magnetic moment: 0.00 μB per atom. The density of states at the Fermi level is 0.89 states/eV per atom. The value obtained for the offset from the most stable computed form is 978.9 meV per atom. The value obtained for the total energy is -2.773 eV per atom.

Unit cell a=5.5746 b=5.5746 c=5.5746 alpha=60.00 beta=60.00 gamma=60.00
Positions (direct):
La  0.5000  0.5000  0.5000
K  0.7500  0.7500  0.7500
K  0.2500  0.2500  0.2500
Rh  0.0000  0.0000  0.0000